Entry 1:
Compound: Ta2W3
Source: Alexandria via LeMat-Bulk
Functional: GGA-PBE
Structure: relaxed

Values from the calculation:
Distance to the lowest polymorph of the same formula = 0.300 eV/atom
Calculated formation energy = 0.198 eV per atom
Crystal system = orthorhombic
E_tot = -12.32 eV/atom

POSCAR file:
```
Ta2W3
1.0
0.0000 4.7713 6.8546
2.6420 0.0000 6.8546
2.6420 4.7713 0.0000
Ta W
4 6
Direct
0.0745 0.0745 0.6755
0.3245 0.3245 0.9255
0.6755 0.6755 0.0745
0.9255 0.9255 0.3245
0.1250 0.1250 0.1250
0.2786 0.2786 0.4714
0.4714 0.4714 0.2786
0.5286 0.5286 0.7214
0.7214 0.7214 0.5286
0.8750 0.8750 0.8750
```

=====

Entry 2:
Compound: Pr3PtI7
Source: Alexandria via LeMat-Bulk
Functional: GGA-PBE
Structure: relaxed

Values from the calculation:
Crystal system = trigonal
E_tot = -4.10 eV/atom

POSCAR file:
```
Pr3PtI7
1.0
8.9382 0.0000 0.0000
-4.4691 7.7407 0.0000
0.0000 0.0000 7.4746
Pr Pt I
3 1 7
Direct
0.0228 0.5114 0.0000
0.4886 0.5114 0.0000
0.4886 0.9772 0.0000
0.3333 0.6667 0.7952
0.1682 0.3364 0.2614
0.1682 0.8318 0.2614
0.3348 0.1674 0.7691
0.6636 0.8318 0.2614
0.6667 0.3333 0.2478
0.8326 0.1674 0.7691
0.8326 0.6652 0.7691
```

=====

Entry 3:
Compound: Al2TlHg
Source: Alexandria via LeMat-Bulk
Functional: GGA-PBE
Structure: relaxed

Values from the calculation:
Calculated formation energy = 0.270 eV per atom
Crystal system = orthorhombic
E_tot = -2.27 eV/atom

POSCAR file:
```
Al2TlHg
1.0
3.0783 0.0000 0.0000
0.0000 5.4009 0.0000
0.0000 0.0000 5.5310
Al Tl Hg
2 1 1
Direct
0.0000 0.0000 0.0000
0.5000 0.0000 0.5000
0.0000 0.5000 0.5000
0.5000 0.5000 0.0000
```

=====

Entry 4:
Compound: Zr2OsCl
Source: Alexandria via LeMat-Bulk
Functional: GGA-PBE
Structure: relaxed

Values from the calculation:
Distance to the lowest polymorph of the same formula = 1.243 eV/atom
Crystal system = cubic
E_tot = -6.98 eV/atom

POSCAR file:
```
Zr2OsCl
1.0
0.0000 3.3574 3.3574
3.3574 0.0000 3.3574
3.3574 3.3574 0.0000
Zr Os Cl
2 1 1
Direct
0.0000 0.0000 0.0000
0.2500 0.2500 0.2500
0.7500 0.7500 0.7500
0.5000 0.5000 0.5000
```

=====

Entry 5:
Compound: SiOs2I2
Source: Alexandria via LeMat-Bulk
Functional: GGA-PBE
Structure: relaxed

Values from the calculation:
Distance to the lowest polymorph of the same formula = 0.000 eV/atom
Crystal system = tetragonal
E_tot = -4.87 eV/atom

POSCAR file:
```
SiOs2I2
1.0
-1.8026 1.8026 8.6998
1.8026 -1.8026 8.6998
1.8026 1.8026 -8.6998
Si Os I
1 2 2
Direct
0.0000 0.0000 0.0000
0.2500 0.7500 0.5000
0.7500 0.2500 0.5000
0.3931 0.3931 0.0000
0.6069 0.6069 0.0000
```

=====

Entry 6:
Compound: CaSn2F
Source: Alexandria via LeMat-Bulk
Functional: GGA-PBE
Structure: relaxed

Values from the calculation:
Distance to the lowest polymorph of the same formula = 0.518 eV/atom
Crystal system = cubic
E_tot = -3.55 eV/atom

POSCAR file:
```
CaSn2F
1.0
0.0000 3.6507 3.6507
3.6507 0.0000 3.6507
3.6507 3.6507 0.0000
Ca Sn F
1 2 1
Direct
0.0000 0.0000 0.0000
0.2500 0.2500 0.2500
0.7500 0.7500 0.7500
0.5000 0.5000 0.5000
```